First-principles (PBE+U) data for a geometry-optimized K2ZnFeF6 structure, as listed in Alexandria.

Structure (POSCAR):
```
K2ZnFeF6
1.0
-2.953 2.953 4.121
2.953 -2.953 4.121
2.953 2.953 -4.121
K Zn Fe F
2 1 1 6
Direct
0.250 0.750 0.500 K
0.750 0.250 0.500 K
0.000 0.000 0.000 Zn
0.500 0.500 0.000 Fe
0.246 0.246 0.491 F
0.246 0.754 0.000 F
0.253 0.253 0.000 F
0.747 0.747 0.000 F
0.754 0.246 0.000 F
0.754 0.754 0.509 F
```

Output
- calculated density (Mg/m³) = 3.6
- space-group type = No. 139
- uncorrected energy (eV per cell) = -46.36